No. 1
Here is crystalline ReSiMo at its relaxed geometry from Alexandria. Energies are from PBE.

Lattice parameters (Å, degrees): 4.2220 4.2220 2.8635 90.00 90.00 120.00
Last column: nearest neighbours and their distance in Å.
Fractional positions:
Re1 0.0000 0.0000 0.0000  3 Si 2.44
Si1 0.6667 0.3333 0.0000  3 Re 2.44
Mo1 0.3333 0.6667 0.5000  6 Re 2.83, 6 Si 2.83, 2 Mo 2.86

Output
* crystal system: hexagonal
* DOS(E_F): 1.73 states/eV/f.u.
* polymorph energy (0 for the lowest one): 16.0 kJ/mol of atoms
* SG: P-6m2
* total moment: 0.00 μB/f.u.
* V: 44.2 Å³/cell
* ρ: 11.65 Mg/m³

=====

No. 2
Here is crystalline ReSiMo2 at its relaxed geometry from Alexandria. Energies are from PBE.

Lattice parameters (Å, degrees): 2.7381 2.7381 8.3756 90.00 90.00 108.26
Last column: nearest neighbours and their distance in Å.
Fractional positions:
Re1 0.0000 0.0000 0.0000  4 Mo 2.72, 4 Re 2.74
Si1 0.0000 0.0000 0.5000  4 Mo 2.56, 4 Si 2.74
Mo1 0.5000 0.5000 0.2624  2 Si 2.56, 2 Re 2.72, 4 Mo 2.74
Mo2 0.5000 0.5000 0.7376  2 Si 2.56, 2 Re 2.72, 4 Mo 2.74

Output
* crystal system: orthorhombic
* DOS(E_F): 3.30 states/eV/f.u.
* SG: Cmmm
* total moment: 0.00 μB/f.u.
* V: 59.6 Å³/cell
* ρ: 11.31 Mg/m³

=====

No. 3
Here is crystalline ReSi2Mo at its relaxed geometry from Alexandria. Energies are from PBE.

Lattice parameters (Å, degrees): 4.8542 4.8542 4.8542 135.19 135.19 65.23
Last column: nearest neighbours and their distance in Å.
Fractional positions:
Re1 0.0000 0.0000 0.0000  8 Si 2.62-2.76, 4 Mo 2.76
Si1 0.2500 0.7500 0.5000  4 Mo 2.62, 4 Si 2.76, 4 Re 2.76
Si2 0.5000 0.5000 0.0000  4 Re 2.62, 4 Mo 2.76, 4 Si 2.76
Mo1 0.7500 0.2500 0.5000  8 Si 2.62-2.76, 4 Re 2.76

Output
* crystal system: tetragonal
* DOS(E_F): 3.26 states/eV/f.u.
* SG: I-4m2
* total moment: 0.00 μB/f.u.
* V: 56.0 Å³/cell
* ρ: 10.04 Mg/m³

=====

No. 4
Here is crystalline ReSiMo2 at its relaxed geometry from Alexandria. Energies are from PBE.

Lattice parameters (Å, degrees): 4.9750 4.9750 2.7909 96.85 96.85 117.64
Last column: nearest neighbours and their distance in Å.
Fractional positions:
Re1 0.0000 0.0000 0.0000  2 Si 2.58, 4 Mo 2.70, 2 Re 2.79
Si1 0.5000 0.5000 0.0000  2 Re 2.58, 4 Mo 2.70, 2 Si 2.79
Mo1 0.0000 0.5000 0.5000  4 Mo 2.58-2.79, 2 Re 2.70, 2 Si 2.70
Mo2 0.5000 0.0000 0.5000  4 Mo 2.58-2.79, 2 Re 2.70, 2 Si 2.70

Output
* crystal system: monoclinic
* DOS(E_F): 2.49 states/eV/f.u.
* SG: C2/m
* total moment: 0.00 μB/f.u.
* V: 59.5 Å³/cell
* ρ: 11.33 Mg/m³

=====

No. 5
Here is crystalline ReSi2Mo at its relaxed geometry from Alexandria. Energies are from PBE.

Lattice parameters (Å, degrees): 2.8553 2.8553 7.8593 90.00 90.00 115.75
Last column: nearest neighbours and their distance in Å.
Fractional positions:
Re1 0.0000 0.0000 0.0000  4 Si 2.47
Si1 0.5000 0.5000 0.2475  2 Re 2.47, 2 Mo 2.50
Si2 0.5000 0.5000 0.7525  2 Re 2.47, 2 Mo 2.50
Mo1 0.0000 0.0000 0.5000  4 Si 2.50

Output
* crystal system: orthorhombic
* DOS(E_F): 3.27 states/eV/f.u.
* SG: Cmmm
* total moment: 0.00 μB/f.u.
* V: 57.7 Å³/cell
* ρ: 9.73 Mg/m³

=====

No. 6
Here is crystalline ReSiMo at its relaxed geometry from Alexandria. Energies are from PBE.

Lattice parameters (Å, degrees): 4.9314 4.9314 6.8426 111.33 111.33 35.18
Last column: nearest neighbours and their distance in Å.
Fractional positions:
Re1 0.1203 0.1203 0.4474  2 Si 2.50, 3 Re 2.62-2.71, 2 Mo 2.74
Re2 0.8797 0.8797 0.5526  2 Si 2.50, 3 Re 2.62-2.71, 2 Mo 2.74
Si1 0.3830 0.3830 0.8477  1 Si 2.38, 2 Re 2.50, 4 Mo 2.56-2.64
Si2 0.6170 0.6170 0.1523  1 Si 2.38, 2 Re 2.50, 4 Mo 2.56-2.64
Mo1 0.3528 0.3528 0.2039  4 Si 2.56-2.64, 4 Re 2.74-2.85
Mo2 0.6472 0.6472 0.7961  4 Si 2.56-2.64, 4 Re 2.74-2.85

Output
* crystal system: monoclinic
* DOS(E_F): 1.38 states/eV/f.u.
* polymorph energy (0 for the lowest one): 0.0 kJ/mol of atoms
* SG: C2/m
* total moment: 0.00 μB/f.u.
* V: 88.6 Å³/cell
* ρ: 11.63 Mg/m³

=====

No. 7
Here is crystalline ReSi2Mo at its relaxed geometry from Alexandria. Energies are from PBE.

Lattice parameters (Å, degrees): 5.2966 5.2966 5.2966 146.22 136.06 56.55
Last column: nearest neighbours and their distance in Å.
Fractional positions:
Re1 0.0000 0.0000 0.0000  6 Si 2.51-2.56, 2 Mo 2.78
Si1 0.4905 0.4905 0.0000  4 Re 2.51, 2 Mo 2.73, 2 Si 2.78
Si2 0.7813 0.2813 0.5000  4 Mo 2.53, 2 Re 2.56, 2 Si 2.78
Mo1 0.2487 0.7487 0.5000  6 Si 2.53-2.73, 2 Re 2.78

Output
* crystal system: orthorhombic
* DOS(E_F): 1.80 states/eV/f.u.
* SG: Imm2
* total moment: 0.00 μB/f.u.
* V: 56.9 Å³/cell
* ρ: 9.87 Mg/m³

=====

No. 8
Here is crystalline ReSiMo at its relaxed geometry from Alexandria. Energies are from PBE.

Lattice parameters (Å, degrees): 5.2000 5.2000 5.2000 146.61 146.61 47.95
Last column: nearest neighbours and their distance in Å.
Fractional positions:
Re1 0.0000 0.0000 0.0000  4 Si 2.55, 4 Mo 2.73
Si1 0.6498 0.6498 0.0000  4 Re 2.55, 4 Mo 2.65
Mo1 0.3178 0.3178 0.0000  4 Si 2.65, 4 Re 2.73

Output
* crystal system: tetragonal
* DOS(E_F): 1.28 states/eV/f.u.
* polymorph energy (0 for the lowest one): 7.9 kJ/mol of atoms
* SG: I4mm
* total moment: 0.00 μB/f.u.
* V: 42.4 Å³/cell
* ρ: 12.14 Mg/m³

=====

No. 9
Here is crystalline ReSiMo2 at its relaxed geometry from Alexandria. Energies are from PBE.

Lattice parameters (Å, degrees): 5.1305 5.1305 5.1305 144.16 131.88 61.43
Last column: nearest neighbours and their distance in Å.
Fractional positions:
Re1 0.0000 0.0000 0.0000  4 Si 2.62, 4 Mo 2.73
Si1 0.5000 0.5000 0.0000  4 Re 2.62, 4 Mo 2.70
Mo1 0.2519 0.7519 0.5000  4 Mo 2.62, 2 Si 2.70, 2 Re 2.73
Mo2 0.7481 0.2481 0.5000  4 Mo 2.62, 2 Si 2.70, 2 Re 2.73

Output
* crystal system: orthorhombic
* DOS(E_F): 2.14 states/eV/f.u.
* SG: Immm
* total moment: 0.00 μB/f.u.
* V: 58.3 Å³/cell
* ρ: 11.58 Mg/m³

=====

No. 10
Here is crystalline Re2SiMo at its relaxed geometry from Alexandria. Energies are from PBE.

Lattice parameters (Å, degrees): 8.6285 8.6285 8.6285 18.87 18.87 18.87
Last column: nearest neighbours and their distance in Å.
Fractional positions:
Re1 0.2459 0.2459 0.2459  3 Si 2.59, 3 Mo 2.76, 6 Re 2.83
Re2 0.7541 0.7541 0.7541  3 Si 2.59, 3 Mo 2.76, 6 Re 2.83
Si1 0.5000 0.5000 0.5000  6 Re 2.59, 6 Si 2.83
Mo1 0.0000 0.0000 0.0000  6 Re 2.76, 6 Mo 2.83

Output
* crystal system: trigonal
* DOS(E_F): 2.18 states/eV/f.u.
* SG: R-3m
* total moment: 0.00 μB/f.u.
* V: 58.7 Å³/cell
* ρ: 14.04 Mg/m³

=====

No. 11
Here is crystalline ReSiMo at its relaxed geometry from Alexandria. Energies are from PBE.

Lattice parameters (Å, degrees): 2.8525 2.8525 6.2528 90.00 90.00 120.00
Last column: nearest neighbours and their distance in Å.
Fractional positions:
Re1 0.0000 0.0000 0.0000  3 Si 2.59, 3 Mo 2.70, 6 Re 2.85
Si1 0.3333 0.6667 0.3205  3 Re 2.59, 3 Mo 2.67, 6 Si 2.85
Mo1 0.6667 0.3333 0.6569  3 Si 2.67, 3 Re 2.70, 6 Mo 2.85

Output
* crystal system: trigonal
* DOS(E_F): 2.41 states/eV/f.u.
* polymorph energy (0 for the lowest one): 28.9 kJ/mol of atoms
* SG: P3m1
* total moment: 0.00 μB/f.u.
* V: 44.1 Å³/cell
* ρ: 11.69 Mg/m³

=====

No. 12
Here is crystalline ReSi2Mo at its relaxed geometry from Alexandria. Energies are from PBE.

Lattice parameters (Å, degrees): 3.1432 3.1432 5.5975 90.00 90.00 90.00
Last column: nearest neighbours and their distance in Å.
Fractional positions:
Re1 0.0000 0.0000 0.0000  5 Si 2.52-2.58
Si1 0.0000 0.0000 0.4616  4 Mo 2.54, 1 Re 2.58, 4 Si 2.63
Si2 0.5000 0.5000 0.2121  4 Re 2.52, 4 Si 2.63, 1 Mo 2.63
Mo1 0.5000 0.5000 0.6813  5 Si 2.54-2.63

Output
* crystal system: tetragonal
* DOS(E_F): 1.88 states/eV/f.u.
* SG: P4mm
* total moment: 0.00 μB/f.u.
* V: 55.3 Å³/cell
* ρ: 10.16 Mg/m³

=====

Looking at formation energy (no corrections) for the records above, in order, we have -0.119; 0.035; 0.037; 0.044; 0.059; -0.285; -0.084; -0.204; -0.166; 0.054; 0.014; -0.377 eV/atom.
Looking at DFT total energy for the records above, in order, we have -9.686; -9.848; -8.494; -9.839; -8.472; -9.853; -8.615; -9.771; -10.049; -10.234; -9.553; -8.908 eV per atom.